## Cs2TePbSe (GGA-PBE)

Data for Cs2TePbSe after structural relaxation.

Summary:
E_tot	-3.278	eV per atom
formation energy from raw total energies	-4.35	eV per formula unit
SG	P2_1/m (11)

abc: 10.115 4.797 10.655
angles: 90.00 101.72 90.00
Atoms (fractional coordinates):
Cs: 0.142 0.250 0.391
Cs: 0.294 0.250 0.907
Cs: 0.706 0.750 0.093
Cs: 0.858 0.750 0.609
Te: 0.375 0.750 0.209
Te: 0.625 0.250 0.791
Pb: 0.478 0.750 0.626
Pb: 0.522 0.250 0.374
Se: 0.218 0.750 0.656
Se: 0.782 0.250 0.344

---

## Cs2Te2Pb2Se (GGA-PBE)

Data for Cs2Te2Pb2Se after structural relaxation.

Summary:
E_tot	-3.425	eV per atom
formation energy from raw total energies	-5.09	eV per formula unit
SG	C2/m (12)

abc: 8.543 8.543 9.075
angles: 119.97 119.97 36.18
Atoms (fractional coordinates):
Cs: 0.060 0.060 0.319
Cs: 0.940 0.940 0.681
Te: 0.319 0.319 0.278
Te: 0.681 0.681 0.722
Pb: 0.304 0.304 0.918
Pb: 0.696 0.696 0.082
Se: 0.500 0.500 0.000

---

## Cs3ThPb2Se6 (GGA-PBE)

Data for Cs3ThPb2Se6 after structural relaxation.

Summary:
E_tot	-4.301	eV per atom
formation energy from raw total energies	-13.31	eV per formula unit
SG	C2/m (12)

abc: 7.714 7.714 8.761
angles: 98.38 98.38 119.96
Atoms (fractional coordinates):
Cs: 0.000 0.000 0.000
Cs: 0.327 0.673 0.000
Cs: 0.673 0.327 0.000
Th: 0.500 0.500 0.500
Pb: 0.166 0.834 0.500
Pb: 0.834 0.166 0.500
Se: 0.117 0.436 0.308
Se: 0.247 0.247 0.695
Se: 0.436 0.117 0.308
Se: 0.564 0.883 0.692
Se: 0.753 0.753 0.305
Se: 0.883 0.564 0.692

---

Among the records above, which one has the highest E_tot?
Cs2TePbSe